Record 1
The following is a DFT calculation (GGA-PBE) of an optimized crystal structure of NdPt.

Values from the calculation:
DFT formation energy = -1.47 eV/f.u.

abc: 3.6438 3.6438 4.1406
angles: 90.00 90.00 120.00
Space group P-6m2 (No. 187)
One atom of each set of equivalent atoms:
Nd 0.0000 0.0000 0.0000
Pt 0.6667 0.3333 0.5000

=====

Record 2
The following is a DFT calculation (GGA-PBE) of an optimized crystal structure of Nd2Pt7.

Values from the calculation:
DFT formation energy = -7.58 eV/f.u.

abc: 5.4499 5.4499 39.9371
angles: 90.00 90.00 120.00
Space group R-3m (No. 166, hexagonal axes)
One atom of each set of equivalent atoms:
Nd 0.0000 0.0000 0.0495
Nd 0.0000 0.0000 0.1473
Pt 0.0000 0.0000 0.2777
Pt 0.0000 0.0000 0.3887
Pt 0.0000 0.0000 0.5000
Pt 0.0000 0.5000 0.0000
Pt 0.0036 0.5018 0.8886

=====

Record 3
The following is a DFT calculation (GGA-PBE) of an optimized crystal structure of NdPt.

Values from the calculation:
DFT formation energy = -0.89 eV/f.u.

abc: 6.5023 6.5023 6.5023
angles: 90.00 90.00 90.00
Space group F-43m (No. 216)
One atom of each set of equivalent atoms:
Nd 0.0000 0.0000 0.0000
Pt 0.2500 0.2500 0.2500

=====

DFT formation energy of number 3 (NdPt)? -0.89 eV/f.u.

=====

Look up the DFT formation energy of the third one. -0.89 eV/f.u.

=====

Look up the DFT formation energy of the second one. -7.58 eV/f.u.

=====

DFT formation energy of number 3 (NdPt)? -0.89 eV/f.u.